Density functional theory data (PBE-GGA) for crystalline FeOs3S at its relaxed geometry.

Cell lengths 4.2795, 4.2795, 4.2795 Å; angles 90.00, 90.00, 90.00 degrees
Atoms (fractional coordinates):
Fe 0.0000 0.0000 0.0000
Os 0.0000 0.5000 0.5000
Os 0.5000 0.0000 0.5000
Os 0.5000 0.5000 0.0000
S 0.5000 0.5000 0.5000

Output
The space-group type is Pm-3m, No. 221. The calculation puts the energy above the most stable polymorph in this dataset at 0 meV/atom. The value obtained for the formation energy (no corrections) is 1.458 eV/atom.